This record from Alexandria describes HgRuF4 after structural relaxation. The functional is GGA-PBE.

Summary:
As for the volume: 19.22 A^3/atom. The value obtained for the final energy is -0.149 Ha/atom. The calculation puts the size of the total moment at 0.668 μB/atom. As for the energy relative to the elements, uncorrected: -1.2064 eV/atom. The value obtained for the density of states at the Fermi level is 0.04 states/eV/atom.

abc: 6.589 5.683 6.215
angles: 90.00 97.58 90.00
Site moments in Bohr magnetons follow the coordinates.
Positions (direct):
Hg 0.788 0.750 0.802  0.05
Hg 0.212 0.250 0.198  0.05
Ru 0.217 0.250 0.627  2.90
Ru 0.783 0.750 0.373  2.90
F 0.925 0.250 0.569  0.17
F 0.075 0.750 0.431  0.17
F 0.505 0.250 0.658  0.18
F 0.495 0.750 0.342  0.18
F 0.208 0.010 0.869  0.19
F 0.792 0.510 0.131  0.19
F 0.792 0.990 0.131  0.19
F 0.208 0.490 0.869  0.19

---

This record from Alexandria describes HgRu2F8 after structural relaxation. The functional is GGA-PBE.

Summary:
As for the volume: 14.17 A^3/atom. The value obtained for the final energy is -0.167 Ha/atom. The calculation puts the size of the total moment at 0.199 μB/atom. As for the energy relative to the elements, uncorrected: -1.4728 eV/atom. The value obtained for the density of states at the Fermi level is 0.39 states/eV/atom.

abc: 3.980 6.531 8.264
angles: 129.51 89.90 105.27
Site moments in Bohr magnetons follow the coordinates.
Positions (direct):
Ru 0.114 0.241 0.621  0.92
Ru 0.886 0.759 0.379  0.92
Hg 0.000 0.000 0.000  0.00
F 0.365 0.710 0.355  0.05
F 0.635 0.290 0.645  0.05
F 0.861 0.723 0.131  0.04
F 0.138 0.275 0.407  0.04
F 0.317 0.714 0.857  0.00
F 0.139 0.277 0.869  0.04
F 0.862 0.725 0.593  0.04
F 0.683 0.286 0.143  0.00

---

This record from Alexandria describes HgRu2F after structural relaxation. The functional is GGA-PBE.

Summary:
As for the volume: 17.20 A^3/atom. Its energy above the lowest structure with this stoichiometry is 0.000 eV/atom. The value obtained for the final energy is -0.175 Ha/atom. The calculation puts the size of the total moment at 0.154 μB/atom. As for the energy relative to the elements, uncorrected: 0.4289 eV/atom. The value obtained for the density of states at the Fermi level is 1.11 states/eV/atom.

abc: 3.911 3.911 9.414
angles: 78.01 78.01 90.00
Site moments in Bohr magnetons follow the coordinates.
Positions (direct):
Ru 0.218 0.125 0.250  0.29
Ru 0.532 0.625 0.250  0.31
Ru 0.375 0.782 0.750  0.23
Ru 0.875 0.468 0.750  0.24
Hg 0.000 0.000 0.000  0.01
Hg 0.750 0.250 0.500  0.01
F 0.500 0.500 0.000  0.02
F 0.250 0.750 0.500  0.02

---

This record from Alexandria describes HgRuF3 after structural relaxation. The functional is GGA-PBE.

Summary:
As for the volume: 18.80 A^3/atom. Its energy above the lowest structure with this stoichiometry is 0.629 eV/atom. The value obtained for the final energy is -0.123 Ha/atom. The calculation puts the size of the total moment at 0.641 μB/atom. As for the energy relative to the elements, uncorrected: -0.3011 eV/atom. The value obtained for the density of states at the Fermi level is 1.23 states/eV/atom.

abc: 4.547 4.547 4.547
angles: 90.00 90.00 90.00
Site moments in Bohr magnetons follow the coordinates.
Positions (direct):
Ru 0.500 0.500 0.500  2.85
Hg 0.000 0.000 0.000  0.00
F 0.000 0.500 0.000  0.02
F 0.000 0.000 0.500  0.01
F 0.500 0.000 0.000  0.02

---

This record from Alexandria describes HgRuF3 after structural relaxation. The functional is GGA-PBE.

Summary:
As for the volume: 15.38 A^3/atom. Its energy above the lowest structure with this stoichiometry is 0.000 eV/atom. The value obtained for the final energy is -0.146 Ha/atom. The calculation puts the size of the total moment at 0.488 μB/atom. As for the energy relative to the elements, uncorrected: -0.9302 eV/atom. The value obtained for the density of states at the Fermi level is 1.40 states/eV/atom.

abc: 4.252 4.252 4.252
angles: 90.00 90.00 90.00
Site moments in Bohr magnetons follow the coordinates.
Positions (direct):
Ru 0.000 0.000 0.000  1.90
Hg 0.500 0.500 0.500  0.13
F 0.000 0.500 0.000  0.09
F 0.000 0.000 0.500  0.05
F 0.500 0.000 0.000  0.12

---

This record from Alexandria describes Hg2RuF8 after structural relaxation. The functional is GGA-PBE.

Summary:
As for the volume: 16.42 A^3/atom. The value obtained for the final energy is -0.138 Ha/atom. The calculation puts the size of the total moment at 0.182 μB/atom. As for the energy relative to the elements, uncorrected: -1.4995 eV/atom. The value obtained for the density of states at the Fermi level is 0.41 states/eV/atom.

abc: 5.162 6.899 5.967
angles: 107.45 64.37 90.00
Site moments in Bohr magnetons follow the coordinates.
Positions (direct):
Ru 0.000 0.000 0.000  1.52
Hg 0.798 0.652 0.404  -0.01
Hg 0.202 0.348 0.596  -0.01
F 0.393 0.935 0.726  0.09
F 0.882 0.935 0.726  0.09
F 0.607 0.065 0.274  0.09
F 0.319 0.545 0.361  0.00
F 0.118 0.065 0.274  0.09
F 0.990 0.716 0.020  0.02
F 0.010 0.284 0.980  0.02
F 0.681 0.455 0.639  0.00

---

This record from Alexandria describes Hg3RuF6 after structural relaxation. The functional is GGA-PBE.

Summary:
As for the volume: 17.73 A^3/atom. The value obtained for the final energy is -0.127 Ha/atom. The calculation puts the size of the total moment at 0.290 μB/atom. As for the energy relative to the elements, uncorrected: -1.3261 eV/atom. The value obtained for the density of states at the Fermi level is 0.18 states/eV/atom.

abc: 5.261 5.261 7.397
angles: 90.00 90.00 120.00
Site moments in Bohr magnetons follow the coordinates.
Positions (direct):
Hg 0.000 0.000 0.500  0.01
Hg 0.667 0.333 0.500  0.01
Hg 0.333 0.667 0.500  0.01
Ru 0.000 0.000 0.000  1.99
F 0.709 0.709 0.845  0.12
F 0.000 0.291 0.845  0.12
F 0.291 0.000 0.845  0.12
F 0.000 0.709 0.155  0.12
F 0.291 0.291 0.155  0.12
F 0.709 0.000 0.155  0.12

---

This record from Alexandria describes Hg2RuF after structural relaxation. The functional is GGA-PBE.

Summary:
As for the volume: 17.61 A^3/atom. Its energy above the lowest structure with this stoichiometry is 0.047 eV/atom. The value obtained for the final energy is -0.101 Ha/atom. The calculation puts the size of the total moment at 0.250 μB/atom. As for the energy relative to the elements, uncorrected: 0.1782 eV/atom. The value obtained for the density of states at the Fermi level is 1.92 states/eV/atom.

abc: 4.635 4.635 4.635
angles: 60.00 60.00 60.00
Site moments in Bohr magnetons follow the coordinates.
Positions (direct):
Ru 0.500 0.500 0.500  0.95
Hg 0.250 0.250 0.250  -0.01
Hg 0.750 0.750 0.750  -0.01
F 0.000 0.000 0.000  0.01

---

This record from Alexandria describes Hg2RuF after structural relaxation. The functional is GGA-PBE.

Summary:
As for the volume: 18.74 A^3/atom. Its energy above the lowest structure with this stoichiometry is 0.000 eV/atom. The value obtained for the final energy is -0.103 Ha/atom. The calculation puts the size of the total moment at 0.457 μB/atom. As for the energy relative to the elements, uncorrected: 0.1309 eV/atom. The value obtained for the density of states at the Fermi level is 0.81 states/eV/atom.

abc: 7.176 7.176 5.850
angles: 52.17 52.17 90.00
Site moments in Bohr magnetons follow the coordinates.
Positions (direct):
Ru 0.000 0.000 0.000  1.70
Ru 0.750 0.250 0.500  1.70
Hg 0.598 0.125 0.250  -0.01
Hg 0.152 0.625 0.250  -0.01
Hg 0.375 0.402 0.750  -0.01
Hg 0.875 0.848 0.750  -0.01
F 0.500 0.500 0.000  0.04
F 0.250 0.750 0.500  0.04

---

This record from Alexandria describes HgRuF5 after structural relaxation. The functional is GGA-PBE.

Summary:
As for the volume: 15.68 A^3/atom. The value obtained for the final energy is -0.154 Ha/atom. The calculation puts the size of the total moment at 0.143 μB/atom. As for the energy relative to the elements, uncorrected: -1.4910 eV/atom. The value obtained for the density of states at the Fermi level is 0.73 states/eV/atom.

abc: 5.817 5.817 8.346
angles: 72.29 72.29 112.08
Site moments in Bohr magnetons follow the coordinates.
Positions (direct):
Hg 0.128 0.372 0.250  -0.05
Hg 0.872 0.628 0.750  -0.05
Ru 0.000 0.000 0.000  0.89
Ru 0.500 0.500 0.500  0.89
F 0.323 0.203 0.034  0.04
F 0.312 0.653 0.374  0.01
F 0.703 0.823 0.534  0.04
F 0.840 0.660 0.250  0.04
F 0.847 0.188 0.126  0.01
F 0.153 0.812 0.874  0.01
F 0.160 0.340 0.750  0.04
F 0.297 0.177 0.466  0.04
F 0.688 0.347 0.626  0.01
F 0.677 0.797 0.966  0.04

---

This record from Alexandria describes HgRu2F after structural relaxation. The functional is GGA-PBE.

Summary:
As for the volume: 16.00 A^3/atom. Its energy above the lowest structure with this stoichiometry is 0.227 eV/atom. The value obtained for the final energy is -0.166 Ha/atom. The calculation puts the size of the total moment at 1.184 μB/atom. As for the energy relative to the elements, uncorrected: 0.6563 eV/atom. The value obtained for the density of states at the Fermi level is 0.59 states/eV/atom.

abc: 4.490 4.490 4.490
angles: 60.00 60.00 60.00
Site moments in Bohr magnetons follow the coordinates.
Positions (direct):
Ru 0.250 0.250 0.250  2.20
Ru 0.750 0.750 0.750  2.20
Hg 0.500 0.500 0.500  0.02
F 0.000 0.000 0.000  0.12

---

This record from Alexandria describes ScHgRuF2 after structural relaxation. The functional is GGA-PBE.

Summary:
As for the volume: 19.41 A^3/atom. The value obtained for the final energy is -0.195 Ha/atom. The calculation puts the size of the total moment at 0.245 μB/atom. As for the energy relative to the elements, uncorrected: -1.3625 eV/atom. The value obtained for the density of states at the Fermi level is 0.52 states/eV/atom.

abc: 3.955 6.207 3.955
angles: 90.00 90.00 90.00
Site moments in Bohr magnetons follow the coordinates.
Positions (direct):
Sc 0.000 0.000 0.000  -0.04
Ru 0.500 0.500 0.500  1.22
Hg 0.000 0.500 0.000  -0.04
F 0.000 0.000 0.500  0.00
F 0.500 0.000 0.000  0.01